# 1
The following is a DFT calculation (PBE) of TiIn3As after structural relaxation.

Lattice parameters (Å, degrees): 5.3449 5.3449 5.3449 90.00 90.00 90.00
Space group Pm-3m (No. 221)
Asymmetric unit:
Ti1 0.0000 0.0000 0.0000 [1 per cell]
In1 0.0000 0.0000 0.5000 [3 per cell]
As1 0.5000 0.5000 0.5000 [1 per cell]

DOS(E_F) (states/eV per cell): 6.15
Electronic total energy (eV/atom): -3.419
ΔE to the lowest computed polymorph (eV/f.u.): 0.00
Energy of formation from the pure elements (kJ/mol of formula units): 354

---

# 2
The following is a DFT calculation (PBE) of N after structural relaxation.

Lattice parameters (Å, degrees): 2.1775 7.0114 3.3377 90.00 90.00 90.00
Space group Imma (No. 74)
Asymmetric unit:
N1 0.0000 0.2500 0.1437 [4 per cell]

DOS(E_F) (states/eV per cell): 0.82
Electronic total energy (eV/atom): -7.293
ΔE to the lowest computed polymorph (eV/f.u.): 1.03
ΔE_f (raw) (eV/atom): 1.032

---

# 3
The following is a DFT calculation (PBE) of TaFeAs2Se after structural relaxation.

Lattice parameters (Å, degrees): 4.4032 4.4032 4.9724 90.00 90.00 90.00
Space group P4/mmm (No. 123)
Asymmetric unit:
Ta1 0.0000 0.0000 0.0000 [1 per cell]
Fe1 0.5000 0.5000 0.5000 [1 per cell]
As1 0.0000 0.5000 0.5000 [2 per cell]
Se1 0.5000 0.5000 0.0000 [1 per cell]

DOS(E_F) (states/eV per cell): 4.83
Electronic total energy (eV/atom): -5.861
ΔE to the lowest computed polymorph (eV/f.u.): 0.36
ΔE_f (raw) (eV/atom): 0.759

---

# 4
The following is a DFT calculation (PBE) of Ba5CaAu3 after structural relaxation.

Lattice parameters (Å, degrees): 7.6908 4.7973 23.0551 90.00 92.31 90.00
Space group P2/m (No. 10)
Asymmetric unit:
Ba1 0.1659 0.0000 0.4061 [2 per cell]
Ba2 0.2422 0.0000 0.0598 [2 per cell]
Ba3 0.2488 0.5000 0.8845 [2 per cell]
Ba4 0.3042 0.5000 0.2389 [2 per cell]
Ba5 0.3272 0.5000 0.5773 [2 per cell]
Ca1 0.2026 0.0000 0.7299 [2 per cell]
Au1 0.0000 0.5000 0.0000 [1 per cell]
Au2 0.0284 0.5000 0.6746 [2 per cell]
Au3 0.4774 0.0000 0.8258 [2 per cell]
Au4 0.5000 0.0000 0.5000 [1 per cell]

DOS(E_F) (states/eV per cell): 13.47
Electronic total energy (eV/atom): -2.907
Energy of formation from the pure elements (kJ/mol of formula units): -455

---

# 5
The following is a DFT calculation (PBE) of RbPd2IO after structural relaxation.

Lattice parameters (Å, degrees): 5.5172 5.5172 6.6017 90.00 90.00 90.00
Space group P4/mmm (No. 123)
Asymmetric unit:
Rb1 0.0000 0.0000 0.0000 [1 per cell]
Pd1 0.0000 0.5000 0.0000 [2 per cell]
I1 0.0000 0.0000 0.5000 [1 per cell]
O1 0.5000 0.5000 0.5000 [1 per cell]

DOS(E_F) (states/eV per cell): 3.90
Electronic total energy (eV/atom): -2.122
ΔE_f (raw) (eV/atom): 1.450

---

# 6
The following is a DFT calculation (PBE) of AcAl3Hg after structural relaxation.

Lattice parameters (Å, degrees): 4.4208 4.4208 5.9730 90.00 90.00 90.00
Space group P4mm (No. 99)
Asymmetric unit:
Ac1 0.0000 0.0000 0.0000 [1 per cell]
Al1 0.0000 0.5000 0.5233 [2 per cell]
Al2 0.5000 0.5000 0.7860 [1 per cell]
Hg1 0.5000 0.5000 0.2322 [1 per cell]

DOS(E_F) (states/eV per cell): 2.04
Electronic total energy (eV/atom): -3.423
Energy of formation from the pure elements (kJ/mol of formula units): -143

---

# 7
The following is a DFT calculation (PBE) of Nb2ZnCo2 after structural relaxation.

Lattice parameters (Å, degrees): 6.9090 6.9090 3.0454 90.00 90.00 90.00
Space group P4/mbm (No. 127)
Asymmetric unit:
Nb1 0.1731 0.3269 0.0000 [4 per cell]
Zn1 0.0000 0.0000 0.5000 [2 per cell]
Co1 0.1279 0.6279 0.5000 [4 per cell]

DOS(E_F) (states/eV per cell): 4.83
Electronic total energy (eV/atom): -7.270
Energy of formation from the pure elements (kJ/mol of formula units): -70

---

# 8
The following is a DFT calculation (PBE) of Y5Er3Se8 after structural relaxation.

Lattice parameters (Å, degrees): 8.1347 8.1347 19.9538 90.00 90.00 120.00
Space group R-3m (No. 166, hexagonal axes)
Asymmetric unit:
Y1 0.0000 0.0000 0.0000 [3 per cell]
Y2 0.0000 0.0000 0.5000 [3 per cell]
Y3 0.0000 0.5000 0.0000 [9 per cell]
Er1 0.0000 0.5000 0.5000 [9 per cell]
Se1 0.0000 0.0000 0.2482 [6 per cell]
Se2 0.0023 0.5012 0.7512 [18 per cell]

DOS(E_F) (states/eV per cell): 33.01
Electronic total energy (eV/atom): -6.351
ΔE_f (raw) (eV/atom): -1.733

---

> electronic total energy of number 2 (N)?

-7.293 eV/atom

---

> Which formula does entry 2 have?

N